Density functional theory data (GGA-PBE) for an optimized crystal structure of CdPW2.

a b c (Å): 3.8882 3.8882 4.3966
angles (deg): 90.00 90.00 90.00
With the nearest neighbours (Å) after each atom.
Fractional coordinates of all 4 atoms:
Cd 0.5000 0.5000 0.5000  4 P 2.75, 8 W 2.93
P 0.0000 0.0000 0.5000  4 Cd 2.75, 8 W 2.93
W 0.0000 0.5000 0.0000  4 W 2.75, 4 Cd 2.93, 4 P 2.93
W 0.5000 0.0000 0.0000  4 W 2.75, 4 Cd 2.93, 4 P 2.93

Properties
Density in g/cm³: 12.77
Energy above the lowest structure with this stoichiometry in kJ per mole of atoms: 63.93
Formation enthalpy at 0 K in eV/atom: 0.916
Uncorrected energy in eV/atom: -7.142
Crystal system: tetragonal
Size of the total moment in μB/cell: 0.0

---

Density functional theory data (GGA-PBE) for an optimized crystal structure of Li3Np3AgTe8.

a b c (Å): 8.5482 8.5480 8.6009
angles (deg): 119.80 90.00 120.00
With the nearest neighbours (Å) after each atom.
Fractional coordinates of all 15 atoms:
Li 0.0000 0.0000 0.0000  6 Te 2.98-3.02
Li 0.0000 0.5000 0.0000  6 Te 2.98-3.02
Li 0.5000 0.5000 0.0000  6 Te 2.98-3.02
Np 0.5000 0.0000 0.5000  6 Te 3.04-3.08
Np 0.5000 0.5000 0.5000  6 Te 3.04-3.08
Np 0.0000 0.5000 0.5000  6 Te 3.04-3.08
Ag 0.0000 0.0000 0.5000  6 Te 3.05
Te 0.2459 0.4920 0.2381  3 Li 2.98, 3 Np 3.08
Te 0.7541 0.5080 0.7619  3 Li 2.98, 3 Np 3.08
Te 0.7489 0.4976 0.2470  2 Li 3.02, 2 Np 3.04, 1 Ag 3.05
Te 0.2511 0.5024 0.7530  2 Li 3.02, 2 Np 3.04, 1 Ag 3.05
Te 0.7488 0.9983 0.2470  2 Li 3.02, 2 Np 3.04, 1 Ag 3.05
Te 0.2512 0.0017 0.7530  2 Li 3.02, 2 Np 3.04, 1 Ag 3.05
Te 0.2494 0.9982 0.2470  2 Li 3.02, 2 Np 3.04, 1 Ag 3.05
Te 0.7506 0.0018 0.7530  2 Li 3.02, 2 Np 3.04, 1 Ag 3.05

Properties
Density in g/cm³: 6.93
Formation energy without anion corrections in eV/atom: -0.6150
Uncorrected energy in eV/atom: -5.452
Crystal system: trigonal
Size of the total moment in μB/cell: 9.5

---

Density functional theory data (GGA-PBE) for an optimized crystal structure of Ge2PdRuAu.

a b c (Å): 4.7904 5.0563 4.7904
angles (deg): 90.00 90.00 90.00
With the nearest neighbours (Å) after each atom.
Fractional coordinates of all 5 atoms:
Ru 0.5000 0.5000 0.5000  4 Pd 3.39, 8 Ge 3.48
Ge 0.0000 0.0000 0.5000  2 Au 2.40
Ge 0.5000 0.0000 0.0000  2 Au 2.40
Au 0.0000 0.0000 0.0000  4 Ge 2.40, 2 Pd 2.53
Pd 0.0000 0.5000 0.0000  2 Au 2.53

Properties
Density in g/cm³: 7.87
Formation enthalpy at 0 K in eV/atom: 1.267
Uncorrected energy in eV/atom: -4.130
Crystal system: tetragonal
Size of the total moment in μB/cell: 2.7

---

Density functional theory data (GGA-PBE) for an optimized crystal structure of CsAgPdN2.

a b c (Å): 4.3677 6.2555 4.3677
angles (deg): 90.00 90.00 90.00
With the nearest neighbours (Å) after each atom.
Fractional coordinates of all 5 atoms:
Cs 0.0000 0.0000 0.0000  4 N 2.18
Pd 0.5000 0.5000 0.5000  4 Ag 3.09
Ag 0.0000 0.5000 0.0000  4 Pd 3.09, 2 Cs 3.13
N 0.0000 0.0000 0.5000  2 Cs 2.18
N 0.5000 0.0000 0.0000  2 Cs 2.18

Properties
Density in g/cm³: 5.22
Formation energy without anion corrections in eV/atom: 2.6513
Uncorrected energy in eV/atom: -2.458
Crystal system: tetragonal
Size of the total moment in μB/cell: 1.5